# TbHo7Hg2

A relaxed structure of TbHo7Hg2 (PBE, the Alexandria database).

Unit cell a=5.2668 b=8.8549 c=8.8549 alpha=118.56 beta=90.00 gamma=90.00
Element x y z (fractional)
1 Hg 0.5000 0.3062 0.6938
2 Hg 0.5000 0.6938 0.3062
3 Tb 0.0000 0.0000 0.0000
4 Ho 0.0000 0.2350 0.7650
5 Ho 0.5000 0.0615 0.3032
6 Ho 0.5000 0.5000 0.5000
7 Ho 0.0000 0.7650 0.2350
8 Ho 0.5000 0.3032 0.0615
9 Ho 0.5000 0.9385 0.6968
10 Ho 0.5000 0.6968 0.9385

Computed properties:
For the total magnetization, the calculation gives 2.137 Bohr magnetons per cell. The value obtained for the density of states at the Fermi level is 20.3 states/eV/cell. The value obtained for the energy of formation is 279 kJ/mol of formula units.